Record 1
{"formula": "V2CuO", "functional": "PBE with a Hubbard U", "state": "relaxed", "cell": [[-3.028, 3.028, 3.308], [3.028, -3.028, 3.308], [3.028, 3.028, -3.308]], "species": ["V", "V", "V", "V", "Cu", "Cu", "O", "O"], "frac_coords": [[0.044, 0.625, 0.919], [0.375, 0.294, 0.419], [0.706, 0.125, 0.081], [0.875, 0.956, 0.581], [0.250, 0.750, 0.500], [0.500, 0.500, 0.000], [0.000, 0.000, 0.000], [0.750, 0.250, 0.500]], "dft_energy_ev_per_fu": -24.2}

---

Record 2
{"formula": "V2CuO4", "functional": "PBE with a Hubbard U", "state": "relaxed", "cell": [[-1.891, 1.891, 5.516], [1.891, -1.891, 5.516], [1.891, 1.891, -5.516]], "species": ["V", "V", "Cu", "O", "O", "O", "O"], "frac_coords": [[0.139, 0.139, 0.000], [0.861, 0.861, 0.000], [0.500, 0.500, 0.000], [0.000, 0.500, 0.500], [0.297, 0.297, 0.000], [0.500, 0.000, 0.500], [0.703, 0.703, 0.000]], "dft_energy_ev_per_fu": -45.3}

---

Record 3
{"formula": "VCu3O", "functional": "PBE with a Hubbard U", "state": "relaxed", "cell": [[4.613, 0.000, 0.000], [0.000, 4.613, 0.000], [0.000, 0.000, 4.613]], "species": ["V", "Cu", "Cu", "Cu", "O"], "frac_coords": [[0.000, 0.000, 0.000], [0.000, 0.000, 0.500], [0.000, 0.500, 0.000], [0.500, 0.000, 0.000], [0.500, 0.500, 0.500]], "dft_energy_ev_per_fu": -15.2}

---

Record 4
{"formula": "VCuWO6", "functional": "PBE with a Hubbard U", "state": "relaxed", "cell": [[5.041, 0.000, 0.000], [-2.521, 4.366, 0.000], [0.000, 0.000, 9.110]], "species": ["V", "V", "Cu", "Cu", "W", "W", "O", "O", "O", "O", "O", "O", "O", "O", "O", "O", "O", "O"], "frac_coords": [[0.333, 0.667, 0.250], [0.667, 0.333, 0.750], [0.000, 0.000, 0.000], [0.000, 0.000, 0.500], [0.333, 0.667, 0.750], [0.667, 0.333, 0.250], [0.004, 0.357, 0.134], [0.004, 0.647, 0.366], [0.353, 0.357, 0.366], [0.353, 0.996, 0.134], [0.357, 0.004, 0.634], [0.357, 0.353, 0.866], [0.643, 0.647, 0.134], [0.643, 0.996, 0.366], [0.647, 0.004, 0.866], [0.647, 0.643, 0.634], [0.996, 0.353, 0.634], [0.996, 0.643, 0.866]], "dft_energy_ev_per_fu": -62.6}

---

Record 5
{"formula": "YV4Cu3O12", "functional": "PBE with a Hubbard U", "state": "relaxed", "cell": [[5.259, 3.036, 2.131], [-5.259, 3.036, 2.131], [0.000, -6.072, 2.131]], "species": ["Y", "V", "V", "V", "V", "Cu", "Cu", "Cu", "O", "O", "O", "O", "O", "O", "O", "O", "O", "O", "O", "O"], "frac_coords": [[0.000, 0.000, 0.000], [0.000, 0.000, 0.500], [0.000, 0.500, 0.000], [0.500, 0.000, 0.000], [0.500, 0.500, 0.500], [0.000, 0.500, 0.500], [0.500, 0.000, 0.500], [0.500, 0.500, 0.000], [0.118, 0.291, 0.819], [0.177, 0.476, 0.298], [0.181, 0.882, 0.709], [0.291, 0.819, 0.118], [0.298, 0.177, 0.476], [0.476, 0.298, 0.177], [0.524, 0.702, 0.823], [0.702, 0.823, 0.524], [0.709, 0.181, 0.882], [0.819, 0.118, 0.291], [0.823, 0.524, 0.702], [0.882, 0.709, 0.181]], "dft_energy_ev_per_fu": -143.3}

---

Record 6
{"formula": "V2ZnCuO6", "functional": "PBE with a Hubbard U", "state": "relaxed", "cell": [[5.661, -5.913, 0.000], [5.661, 5.913, 0.000], [-2.977, 0.000, 5.015]], "species": ["V", "V", "V", "V", "Zn", "Zn", "Cu", "Cu", "O", "O", "O", "O", "O", "O", "O", "O", "O", "O", "O", "O"], "frac_coords": [[0.144, 0.320, 0.230], [0.320, 0.144, 0.730], [0.680, 0.856, 0.270], [0.856, 0.680, 0.770], [0.268, 0.732, 0.750], [0.732, 0.268, 0.250], [0.278, 0.722, 0.250], [0.722, 0.278, 0.750], [0.090, 0.704, 0.896], [0.210, 0.214, 0.957], [0.214, 0.210, 0.457], [0.246, 0.547, 0.407], [0.296, 0.910, 0.604], [0.453, 0.754, 0.093], [0.547, 0.246, 0.907], [0.704, 0.090, 0.396], [0.754, 0.453, 0.593], [0.786, 0.790, 0.543], [0.790, 0.786, 0.043], [0.910, 0.296, 0.104]], "dft_energy_ev_per_fu": -65.3}

---

Record 7
{"formula": "V2ZnCuO7", "functional": "PBE with a Hubbard U", "state": "relaxed", "cell": [[10.681, 0.000, 0.000], [0.000, 8.352, 0.000], [-0.972, 0.000, 10.183]], "species": ["V", "V", "V", "V", "V", "V", "V", "V", "V", "V", "V", "V", "Zn", "Zn", "Zn", "Zn", "Zn", "Zn", "Cu", "Cu", "Cu", "Cu", "Cu", "Cu", "O", "O", "O", "O", "O", "O", "O", "O", "O", "O", "O", "O", "O", "O", "O", "O", "O", "O", "O", "O", "O", "O", "O", "O", "O", "O", "O", "O", "O", "O", "O", "O", "O", "O", "O", "O", "O", "O", "O", "O", "O", "O"], "frac_coords": [[0.004, 0.233, 0.044], [0.004, 0.767, 0.544], [0.332, 0.248, 0.120], [0.332, 0.752, 0.620], [0.337, 0.269, 0.714], [0.337, 0.731, 0.214], [0.663, 0.269, 0.786], [0.663, 0.731, 0.286], [0.668, 0.248, 0.380], [0.668, 0.752, 0.880], [0.996, 0.233, 0.456], [0.996, 0.767, 0.956], [0.000, 0.434, 0.750], [0.000, 0.566, 0.250], [0.378, 0.071, 0.422], [0.378, 0.929, 0.922], [0.622, 0.071, 0.078], [0.622, 0.929, 0.578], [0.000, 0.072, 0.750], [0.000, 0.928, 0.250], [0.308, 0.427, 0.413], [0.308, 0.573, 0.913], [0.692, 0.427, 0.087], [0.692, 0.573, 0.587], [0.030, 0.244, 0.630], [0.030, 0.756, 0.130], [0.044, 0.405, 0.388], [0.044, 0.595, 0.888], [0.064, 0.073, 0.385], [0.064, 0.927, 0.885], [0.171, 0.205, 0.076], [0.171, 0.795, 0.576], [0.250, 0.418, 0.780], [0.250, 0.582, 0.280], [0.311, 0.247, 0.539], [0.311, 0.753, 0.039], [0.313, 0.092, 0.788], [0.313, 0.908, 0.288], [0.353, 0.263, 0.292], [0.353, 0.737, 0.792], [0.363, 0.424, 0.048], [0.363, 0.576, 0.548], [0.427, 0.095, 0.066], [0.427, 0.905, 0.566], [0.500, 0.320, 0.750], [0.500, 0.680, 0.250], [0.573, 0.095, 0.434], [0.573, 0.905, 0.934], [0.637, 0.424, 0.452], [0.637, 0.576, 0.952], [0.647, 0.263, 0.208], [0.647, 0.737, 0.708], [0.687, 0.092, 0.712], [0.687, 0.908, 0.212], [0.689, 0.247, 0.961], [0.689, 0.753, 0.461], [0.750, 0.418, 0.720], [0.750, 0.582, 0.220], [0.829, 0.205, 0.424], [0.829, 0.795, 0.924], [0.936, 0.073, 0.115], [0.936, 0.927, 0.615], [0.956, 0.405, 0.112], [0.956, 0.595, 0.612], [0.970, 0.244, 0.870], [0.970, 0.756, 0.370]], "dft_energy_ev_per_fu": -71.7}

---

Record 8
{"formula": "V2ZnCuO7", "functional": "PBE with a Hubbard U", "state": "relaxed", "cell": [[3.900, -4.105, 0.000], [3.900, 4.105, 0.000], [-3.535, 0.000, 9.626]], "species": ["V", "V", "V", "V", "Zn", "Zn", "Cu", "Cu", "O", "O", "O", "O", "O", "O", "O", "O", "O", "O", "O", "O", "O", "O"], "frac_coords": [[0.224, 0.224, 0.036], [0.231, 0.300, 0.458], [0.700, 0.769, 0.542], [0.776, 0.776, 0.964], [0.643, 0.039, 0.272], [0.961, 0.357, 0.728], [0.457, 0.146, 0.763], [0.854, 0.543, 0.237], [0.043, 0.413, 0.111], [0.088, 0.912, 0.000], [0.212, 0.225, 0.612], [0.236, 0.286, 0.874], [0.380, 0.091, 0.372], [0.405, 0.595, 0.500], [0.507, 0.258, 0.149], [0.587, 0.957, 0.889], [0.694, 0.062, 0.649], [0.714, 0.764, 0.126], [0.742, 0.493, 0.851], [0.775, 0.788, 0.388], [0.909, 0.620, 0.628], [0.938, 0.306, 0.351]], "dft_energy_ev_per_fu": -71.9}

---

Record 9
{"formula": "ZrV2CuO8", "functional": "PBE with a Hubbard U", "state": "relaxed", "cell": [[5.780, 0.000, 0.000], [-2.890, 5.006, 0.000], [0.000, 0.000, 5.690]], "species": ["Zr", "V", "V", "Cu", "O", "O", "O", "O", "O", "O", "O", "O"], "frac_coords": [[0.000, 0.000, 0.000], [0.333, 0.667, 0.671], [0.667, 0.333, 0.329], [0.000, 0.000, 0.500], [0.161, 0.321, 0.759], [0.161, 0.839, 0.759], [0.321, 0.161, 0.241], [0.333, 0.667, 0.386], [0.667, 0.333, 0.614], [0.679, 0.839, 0.759], [0.839, 0.161, 0.241], [0.839, 0.679, 0.241]], "dft_energy_ev_per_fu": -89.8}

---

Record 10
{"formula": "ZrVCuO2", "functional": "PBE with a Hubbard U", "state": "relaxed", "cell": [[3.998, 0.000, 0.000], [0.000, 3.998, 0.000], [0.000, 0.000, 7.086]], "species": ["Zr", "V", "Cu", "O", "O"], "frac_coords": [[0.000, 0.000, 0.000], [0.000, 0.000, 0.500], [0.500, 0.500, 0.500], [0.000, 0.500, 0.000], [0.500, 0.000, 0.000]], "dft_energy_ev_per_fu": -32.3}

---

Record 11
{"formula": "CuWO2", "functional": "PBE with a Hubbard U", "state": "relaxed", "cell": [[-2.097, 2.097, 6.046], [2.097, -2.097, 6.046], [2.097, 2.097, -6.046]], "species": ["Cu", "Cu", "W", "W", "O", "O", "O", "O"], "frac_coords": [[0.000, 0.000, 0.000], [0.750, 0.250, 0.500], [0.250, 0.750, 0.500], [0.500, 0.500, 0.000], [0.145, 0.625, 0.020], [0.375, 0.395, 0.520], [0.605, 0.125, 0.980], [0.875, 0.855, 0.480]], "dft_energy_ev_per_fu": -23.8}

---

Record 12
{"formula": "Cu2WO4", "functional": "PBE with a Hubbard U", "state": "relaxed", "cell": [[7.388, 0.000, 0.000], [-2.014, 7.488, 0.000], [-1.855, -1.409, 7.752]], "species": ["Cu", "Cu", "Cu", "Cu", "Cu", "Cu", "Cu", "Cu", "W", "W", "W", "W", "O", "O", "O", "O", "O", "O", "O", "O", "O", "O", "O", "O", "O", "O", "O", "O"], "frac_coords": [[0.096, 0.487, 0.250], [0.132, 0.720, 0.568], [0.163, 0.942, 0.884], [0.239, 0.413, 0.624], [0.761, 0.587, 0.376], [0.837, 0.058, 0.116], [0.868, 0.280, 0.432], [0.904, 0.513, 0.750], [0.248, 0.045, 0.333], [0.477, 0.796, 0.225], [0.523, 0.204, 0.775], [0.752, 0.955, 0.667], [0.088, 0.878, 0.415], [0.113, 0.169, 0.202], [0.161, 0.586, 0.740], [0.239, 0.867, 0.129], [0.327, 0.562, 0.187], [0.351, 0.230, 0.553], [0.377, 0.160, 0.923], [0.480, 0.952, 0.644], [0.520, 0.048, 0.356], [0.623, 0.840, 0.077], [0.649, 0.770, 0.447], [0.673, 0.438, 0.813], [0.761, 0.133, 0.871], [0.839, 0.414, 0.260], [0.887, 0.831, 0.798], [0.912, 0.122, 0.585]], "dft_energy_ev_per_fu": -42.9}

---

Record 13
{"formula": "Cu3WO", "functional": "PBE with a Hubbard U", "state": "relaxed", "cell": [[4.093, 0.000, 0.000], [0.000, 4.093, 0.000], [0.000, 0.000, 4.093]], "species": ["Cu", "Cu", "Cu", "W", "O"], "frac_coords": [[0.000, 0.000, 0.500], [0.000, 0.500, 0.000], [0.500, 0.000, 0.000], [0.500, 0.500, 0.500], [0.000, 0.000, 0.000]], "dft_energy_ev_per_fu": -21.8}

---

Record 14
{"formula": "Cu3WO", "functional": "PBE with a Hubbard U", "state": "relaxed", "cell": [[4.759, 0.000, 0.000], [0.000, 4.759, 0.000], [0.000, 0.000, 4.759]], "species": ["Cu", "Cu", "Cu", "W", "O"], "frac_coords": [[0.000, 0.000, 0.500], [0.000, 0.500, 0.000], [0.500, 0.000, 0.000], [0.000, 0.000, 0.000], [0.500, 0.500, 0.500]], "dft_energy_ev_per_fu": -14.1}

---

Record 15
{"formula": "Cu2WO4", "functional": "PBE with a Hubbard U", "state": "relaxed", "cell": [[6.202, 0.000, 0.000], [-2.322, 8.515, 0.000], [-2.249, -3.782, 7.777]], "species": ["Cu", "Cu", "Cu", "Cu", "Cu", "Cu", "Cu", "Cu", "W", "W", "W", "W", "O", "O", "O", "O", "O", "O", "O", "O", "O", "O", "O", "O", "O", "O", "O", "O"], "frac_coords": [[0.030, 0.445, 0.333], [0.036, 0.717, 0.998], [0.242, 0.195, 0.558], [0.286, 0.607, 0.201], [0.714, 0.393, 0.799], [0.758, 0.805, 0.442], [0.964, 0.283, 0.002], [0.970, 0.555, 0.667], [0.390, 0.109, 0.852], [0.477, 0.275, 0.249], [0.523, 0.725, 0.751], [0.610, 0.891, 0.148], [0.144, 0.140, 0.719], [0.240, 0.392, 0.209], [0.240, 0.531, 0.602], [0.280, 0.051, 0.020], [0.321, 0.822, 0.195], [0.322, 0.868, 0.728], [0.341, 0.221, 0.391], [0.445, 0.672, 0.942], [0.555, 0.328, 0.058], [0.659, 0.779, 0.609], [0.678, 0.132, 0.272], [0.679, 0.178, 0.805], [0.720, 0.949, 0.980], [0.760, 0.469, 0.398], [0.760, 0.608, 0.791], [0.856, 0.860, 0.281]], "dft_energy_ev_per_fu": -43.3}

---

Record 16
{"formula": "CuWO2", "functional": "PBE with a Hubbard U", "state": "relaxed", "cell": [[0.000, 2.727, 2.727], [2.727, 0.000, 2.727], [2.727, 2.727, 0.000]], "species": ["Cu", "W", "O", "O"], "frac_coords": [[0.000, 0.000, 0.000], [0.500, 0.500, 0.500], [0.250, 0.250, 0.250], [0.750, 0.750, 0.750]], "dft_energy_ev_per_fu": -22.5}

---

Record 17
{"formula": "Cu2WO4", "functional": "PBE with a Hubbard U", "state": "relaxed", "cell": [[5.932, 0.000, 0.000], [-0.214, 8.193, 0.000], [-0.699, -2.735, 7.761]], "species": ["Cu", "Cu", "Cu", "Cu", "Cu", "Cu", "Cu", "Cu", "W", "W", "W", "W", "O", "O", "O", "O", "O", "O", "O", "O", "O", "O", "O", "O", "O", "O", "O", "O"], "frac_coords": [[0.000, 0.000, 0.000], [0.000, 0.000, 0.500], [0.118, 0.352, 0.043], [0.136, 0.238, 0.332], [0.229, 0.713, 0.407], [0.771, 0.287, 0.593], [0.864, 0.762, 0.668], [0.882, 0.648, 0.957], [0.359, 0.648, 0.781], [0.486, 0.069, 0.820], [0.514, 0.931, 0.180], [0.641, 0.352, 0.219], [0.141, 0.669, 0.605], [0.153, 0.557, 0.887], [0.242, 0.063, 0.670], [0.289, 0.830, 0.256], [0.296, 0.925, 0.951], [0.411, 0.281, 0.003], [0.431, 0.172, 0.286], [0.494, 0.534, 0.332], [0.506, 0.466, 0.668], [0.569, 0.828, 0.714], [0.589, 0.719, 0.997], [0.704, 0.075, 0.049], [0.711, 0.170, 0.744], [0.758, 0.937, 0.330], [0.847, 0.443, 0.113], [0.859, 0.331, 0.395]], "dft_energy_ev_per_fu": -43.9}